VASP calculation (PBEsol) on a relaxed Ta2WCl crystal.

The calculated volume is 167 Å³ per cell. The crystal system is monoclinic. The calculation puts the total energy at -9.86 eV/atom. Its formation energy (no corrections) is 0.366 eV/atom. For the energy above the most stable polymorph in this dataset, the calculation gives 1.46 eV per formula unit. Its calculated density is 11.6 g cm⁻³.

The structure belongs to space group C2/m (No. 12); the cell edges are 7.942, 3.020 and 7.969 Å and the angles 90.00°, 119.31° and 90.00°. The distinct sites, in fractional coordinates, are Ta at (0.186, 0.000, 0.312), W at (0.000, 0.000, 0.500) and Cl at (0.000, 0.500, 0.000).



VASP calculation (PBEsol) on a relaxed YTaCl2 crystal.

The calculated volume is 158 Å³ per cell. The crystal system is orthorhombic. The calculation puts the total energy at -6.31 eV/atom. Its formation energy (no corrections) is -0.461 eV/atom. For the energy above the most stable polymorph in this dataset, the calculation gives 1.36 eV per formula unit. Its calculated density is 7.1 g cm⁻³.

The structure belongs to space group Immm (No. 71); the cell edges are 3.069, 5.811 and 8.881 Å and the angles 90.00°, 90.00° and 90.00°. The distinct sites, in fractional coordinates, are Y at (0.000, 0.000, 0.000), Ta at (0.000, 0.000, 0.500) and Cl at (0.000, 0.500, 0.227).



VASP calculation (PBEsol) on a relaxed YTaCl2 crystal.

The calculated volume is 75 Å³ per cell. The crystal system is monoclinic. The calculation puts the total energy at -6.36 eV/atom. Its formation energy (no corrections) is -0.514 eV/atom. For the energy above the most stable polymorph in this dataset, the calculation gives 1.15 eV per formula unit. Its calculated density is 7.5 g cm⁻³.

The structure belongs to space group P2/m (No. 10); the cell edges are 3.132, 4.161 and 5.787 Å and the angles 90.00°, 90.22° and 90.00°. The distinct sites, in fractional coordinates, are Y at (0.000, 0.000, 0.000), Ta at (0.500, 0.000, 0.500) and Cl at (0.498, 0.500, 0.255).



Look up the calculated volume of the third one. 75 Å³ per cell



What is the formation energy (no corrections) in the third record? -0.514 eV/atom